DFT (PBE) results for crystalline La2ThGe3Pt4 at its relaxed geometry.

Values from the calculation:
Space group: P-4m2, No. 115
VASP energy: -6.50 eV per atom

Geometry as POSCAR:
```
La2ThGe3Pt4
1.0
4.431 0.000 0.000
0.000 4.431 0.000
0.000 0.000 11.210
La Th Ge Pt
2 1 3 4
Cartesian
2.216 0.000 2.451
0.000 2.216 8.760
2.216 2.216 5.605
0.000 0.000 5.605
2.216 0.000 9.899
0.000 2.216 1.311
2.216 2.216 0.000
0.000 0.000 0.000
2.216 0.000 7.409
0.000 2.216 3.801
```